This record from Alexandria describes an optimized crystal structure of La3GeBr. The functional is PBE-GGA.

Properties
ΔE_f (raw)   -840 meV/atom
Distance to the lowest polymorph of the same formula   0.0 meV/atom
Uncorrected energy   -0.1858 hartree per atom
Size of the total moment   0.000 μB/atom

a = 11.9818 Å, b = 12.0477 Å, c = 8.4955 Å
α = 90.00°, β = 90.58°, γ = 90.00°
Closest atoms and distances in Å follow each position.
Space group C2/c (No. 15)
Unique sites:
La (0.0643, 0.1206, 0.0564) [8 per cell]  1 Br 3.11, 3 Ge 3.12-3.29, 1 La 3.42
La (0.1329, 0.4289, 0.9283) [8 per cell]  3 Br 3.09-3.29, 2 Ge 3.11-3.23
La (0.2410, 0.1842, 0.6883) [8 per cell]  2 Br 3.04-3.20, 3 Ge 3.20-3.31
Ge (0.1963, 0.0573, 0.3623) [8 per cell]  8 La 3.11-3.31
Br (0.0000, 0.2471, 0.7500) [4 per cell]  6 La 3.04-3.11
Br (0.0000, 0.3675, 0.2500) [4 per cell]  8 La 3.20-3.49